(1)
A relaxed CsCuWSe2S crystal, computed with PBE-GGA.

Lattice parameters (Å, degrees): 8.2279 8.2279 9.6259 90.00 90.00 152.77
Last column: nearest neighbours and their distance in Å.
Atoms (fractional coordinates):
Cs1 0.2443 0.7557 0.7500  6 Se 3.56-3.65, 2 S 3.62, 2 Cs 3.87
Cs2 0.7557 0.2443 0.2500  6 Se 3.56-3.65, 2 S 3.62, 2 Cs 3.87
Cu1 0.0266 0.9734 0.2500  2 S 2.32, 2 Se 2.38
Cu2 0.9734 0.0266 0.7500  2 S 2.32, 2 Se 2.38
W1 0.5000 0.5000 0.0000  2 S 2.55, 4 Se 2.63
W2 0.5000 0.5000 0.5000  2 S 2.55, 4 Se 2.63
Se1 0.1080 0.8920 0.0426  1 Cu 2.38, 2 W 2.63
Se2 0.1080 0.8920 0.4574  1 Cu 2.38, 2 W 2.63
Se3 0.8920 0.1080 0.5426  1 Cu 2.38, 2 W 2.63
Se4 0.8920 0.1080 0.9574  1 Cu 2.38, 2 W 2.63
S1 0.4471 0.5529 0.2500  2 Cu 2.32, 2 W 2.55
S2 0.5529 0.4471 0.7500  2 Cu 2.32, 2 W 2.55

Properties
- electronic total energy (eV/atom) = -5.205
- volume (A^3/atom) = 24.844
- symmetry = No. 63


(2)
A relaxed CsCuWSeS2 crystal, computed with PBE-GGA.

Lattice parameters (Å, degrees): 8.1546 8.1546 9.7066 90.00 90.00 153.09
Last column: nearest neighbours and their distance in Å.
Atoms (fractional coordinates):
Cs1 0.2384 0.7616 0.7500  6 S 3.51-3.89, 2 Se 3.60, 2 Cs 3.79, 2 Cu 3.84
Cs2 0.7616 0.2384 0.2500  6 S 3.51-3.89, 2 Se 3.60, 2 Cs 3.79, 2 Cu 3.84
Cu1 0.4721 0.5279 0.2500  2 S 2.25, 2 Se 2.44
Cu2 0.5279 0.4721 0.7500  2 S 2.25, 2 Se 2.44
W1 0.0000 0.0000 0.0000  4 S 2.50, 2 Se 2.66
W2 0.0000 0.0000 0.5000  4 S 2.50, 2 Se 2.66
Se1 0.0689 0.9311 0.2500  2 Cu 2.44, 2 W 2.66
Se2 0.9311 0.0689 0.7500  2 Cu 2.44, 2 W 2.66
S1 0.4016 0.5984 0.0486  1 Cu 2.25, 2 W 2.50
S2 0.4016 0.5984 0.4514  1 Cu 2.25, 2 W 2.50
S3 0.5984 0.4016 0.5486  1 Cu 2.25, 2 W 2.50
S4 0.5984 0.4016 0.9514  1 Cu 2.25, 2 W 2.50

Properties
- electronic total energy (eV/atom) = -5.357
- volume (A^3/atom) = 24.343
- symmetry = No. 63